No. 1
First-principles (GGA-PBE) data for crystalline Rb3CrSe4 at its relaxed geometry, as listed in the Alexandria database.

```
data_Rb3CrSe4
_cell_length_a 9.890
_cell_length_b 11.446
_cell_length_c 9.933
_cell_angle_alpha 90.00
_cell_angle_beta 90.00
_cell_angle_gamma 90.00
_symmetry_space_group_name_H-M 'P 1'
_symmetry_Int_Tables_number 1
loop_
_symmetry_equiv_pos_as_xyz
'x,y,z'
loop_
_atom_site_label
_atom_site_fract_x
_atom_site_fract_y
_atom_site_fract_z
_atom_site_occupancy
Rb1 0.048 0.044 0.204 1
Rb2 0.048 0.456 0.204 1
Rb3 0.143 0.750 0.415 1
Rb4 0.357 0.250 0.915 1
Rb5 0.452 0.544 0.704 1
Rb6 0.452 0.956 0.704 1
Rb7 0.548 0.044 0.296 1
Rb8 0.548 0.456 0.296 1
Rb9 0.643 0.750 0.085 1
Rb10 0.857 0.250 0.585 1
Rb11 0.952 0.544 0.796 1
Rb12 0.952 0.956 0.796 1
Cr1 0.222 0.750 0.984 1
Cr2 0.278 0.250 0.484 1
Cr3 0.722 0.750 0.516 1
Cr4 0.778 0.250 0.016 1
Se1 0.010 0.750 0.075 1
Se2 0.167 0.086 0.548 1
Se3 0.167 0.414 0.548 1
Se4 0.204 0.750 0.756 1
Se5 0.296 0.250 0.256 1
Se6 0.333 0.586 0.048 1
Se7 0.333 0.914 0.048 1
Se8 0.490 0.250 0.575 1
Se9 0.510 0.750 0.425 1
Se10 0.667 0.086 0.952 1
Se11 0.667 0.414 0.952 1
Se12 0.704 0.750 0.744 1
Se13 0.796 0.250 0.244 1
Se14 0.833 0.586 0.452 1
Se15 0.833 0.914 0.452 1
Se16 0.990 0.250 0.925 1
```

Output
- Raw formation energy: -902 meV per atom

***

No. 2
First-principles (GGA-PBE) data for crystalline Cs4Sr at its relaxed geometry, as listed in the Alexandria database.

```
data_Cs4Sr
_cell_length_a 8.723
_cell_length_b 8.723
_cell_length_c 8.723
_cell_angle_alpha 90.00
_cell_angle_beta 90.00
_cell_angle_gamma 90.00
_symmetry_space_group_name_H-M 'P 1'
_symmetry_Int_Tables_number 1
loop_
_symmetry_equiv_pos_as_xyz
'x,y,z'
loop_
_atom_site_label
_atom_site_fract_x
_atom_site_fract_y
_atom_site_fract_z
_atom_site_occupancy
Cs1 0.000 0.000 0.000 1
Cs2 0.000 0.500 0.500 1
Cs3 0.500 0.000 0.500 1
Cs4 0.500 0.500 0.000 1
Sr1 0.500 0.500 0.500 1
```

Output
- Calculated formation energy: 0.269 eV/atom

***

No. 3
First-principles (GGA-PBE) data for crystalline SrIn4Au6 at its relaxed geometry, as listed in the Alexandria database.

```
data_SrIn4Au6
_cell_length_a 7.257
_cell_length_b 7.257
_cell_length_c 7.257
_cell_angle_alpha 120.49
_cell_angle_beta 120.49
_cell_angle_gamma 89.16
_symmetry_space_group_name_H-M 'P 1'
_symmetry_Int_Tables_number 1
loop_
_symmetry_equiv_pos_as_xyz
'x,y,z'
loop_
_atom_site_label
_atom_site_fract_x
_atom_site_fract_y
_atom_site_fract_z
_atom_site_occupancy
Sr1 0.000 0.000 0.000 1
In1 0.125 0.125 0.613 1
In2 0.489 0.875 0.000 1
In3 0.511 0.511 0.387 1
In4 0.875 0.489 0.000 1
Au1 0.000 0.500 0.500 1
Au2 0.231 0.585 0.000 1
Au3 0.415 0.415 0.646 1
Au4 0.500 0.000 0.500 1
Au5 0.585 0.231 0.000 1
Au6 0.769 0.769 0.354 1
```

Output
- Relative energy among the computed polymorphs: 0.80 eV/f.u.
- Calculated formation energy: -0.275 eV/atom

***

No. 4
First-principles (GGA-PBE) data for crystalline BaPtW at its relaxed geometry, as listed in the Alexandria database.

```
data_BaPtW
_cell_length_a 7.465
_cell_length_b 4.316
_cell_length_c 11.509
_cell_angle_alpha 90.00
_cell_angle_beta 94.23
_cell_angle_gamma 90.00
_symmetry_space_group_name_H-M 'P 1'
_symmetry_Int_Tables_number 1
loop_
_symmetry_equiv_pos_as_xyz
'x,y,z'
loop_
_atom_site_label
_atom_site_fract_x
_atom_site_fract_y
_atom_site_fract_z
_atom_site_occupancy
Ba1 0.201 0.000 0.300 1
Ba2 0.299 0.500 0.700 1
Ba3 0.701 0.500 0.300 1
Ba4 0.799 0.000 0.700 1
Pt1 0.014 0.500 0.121 1
Pt2 0.486 0.000 0.879 1
Pt3 0.514 0.000 0.121 1
Pt4 0.986 0.500 0.879 1
W1 0.162 0.000 0.952 1
W2 0.338 0.500 0.048 1
W3 0.662 0.500 0.952 1
W4 0.838 0.000 0.048 1
```

Output
- Relative energy among the computed polymorphs: 0.00 eV/f.u.
- Calculated formation energy: 0.042 eV/atom

***

No. 5
First-principles (GGA-PBE) data for crystalline TiTlIn2S at its relaxed geometry, as listed in the Alexandria database.

```
data_TiTlIn2S
_cell_length_a 5.619
_cell_length_b 5.619
_cell_length_c 5.113
_cell_angle_alpha 90.00
_cell_angle_beta 90.00
_cell_angle_gamma 90.00
_symmetry_space_group_name_H-M 'P 1'
_symmetry_Int_Tables_number 1
loop_
_symmetry_equiv_pos_as_xyz
'x,y,z'
loop_
_atom_site_label
_atom_site_fract_x
_atom_site_fract_y
_atom_site_fract_z
_atom_site_occupancy
Ti1 0.000 0.000 0.000 1
Tl1 0.500 0.500 0.500 1
In1 0.000 0.500 0.500 1
In2 0.500 0.000 0.500 1
S1 0.500 0.500 0.000 1
```

Output
- Raw formation energy: 1081 meV per atom

***

No. 6
First-principles (GGA-PBE) data for crystalline MgSi at its relaxed geometry, as listed in the Alexandria database.

```
data_MgSi
_cell_length_a 6.098
_cell_length_b 6.209
_cell_length_c 12.891
_cell_angle_alpha 98.98
_cell_angle_beta 103.24
_cell_angle_gamma 100.09
_symmetry_space_group_name_H-M 'P 1'
_symmetry_Int_Tables_number 1
loop_
_symmetry_equiv_pos_as_xyz
'x,y,z'
loop_
_atom_site_label
_atom_site_fract_x
_atom_site_fract_y
_atom_site_fract_z
_atom_site_occupancy
Mg1 0.000 0.000 0.000 1
Mg2 0.006 0.083 0.578 1
Mg3 0.115 0.413 0.296 1
Mg4 0.160 0.938 0.360 1
Mg5 0.305 0.752 0.636 1
Mg6 0.435 0.357 0.746 1
Mg7 0.527 0.164 0.984 1
Mg8 0.570 0.676 0.025 1
Mg9 0.661 0.654 0.257 1
Mg10 0.680 0.220 0.388 1
Mg11 0.819 0.574 0.658 1
Mg12 0.948 0.467 0.924 1
Si1 0.053 0.697 0.142 1
Si2 0.144 0.067 0.797 1
Si3 0.228 0.723 0.838 1
Si4 0.276 0.406 0.106 1
Si5 0.334 0.347 0.517 1
Si6 0.343 0.083 0.195 1
Si7 0.513 0.693 0.453 1
Si8 0.564 0.078 0.563 1
Si9 0.636 0.777 0.833 1
Si10 0.735 0.054 0.186 1
Si11 0.753 0.096 0.758 1
Si12 0.908 0.648 0.463 1
```

Output
- Raw formation energy: 43 meV per atom

***

No. 7
First-principles (GGA-PBE) data for crystalline LiCuOs2 at its relaxed geometry, as listed in the Alexandria database.

```
data_LiCuOs2
_cell_length_a 2.647
_cell_length_b 2.647
_cell_length_c 27.180
_cell_angle_alpha 90.00
_cell_angle_beta 90.00
_cell_angle_gamma 120.00
_symmetry_space_group_name_H-M 'P 1'
_symmetry_Int_Tables_number 1
loop_
_symmetry_equiv_pos_as_xyz
'x,y,z'
loop_
_atom_site_label
_atom_site_fract_x
_atom_site_fract_y
_atom_site_fract_z
_atom_site_occupancy
Li1 0.000 0.000 0.000 1
Li2 0.333 0.667 0.667 1
Li3 0.667 0.333 0.333 1
Cu1 0.000 0.000 0.500 1
Cu2 0.333 0.667 0.167 1
Cu3 0.667 0.333 0.833 1
Os1 0.000 0.000 0.248 1
Os2 0.000 0.000 0.752 1
Os3 0.333 0.667 0.419 1
Os4 0.333 0.667 0.915 1
Os5 0.667 0.333 0.085 1
Os6 0.667 0.333 0.581 1
```

Output
- Relative energy among the computed polymorphs: 0.26 eV/f.u.
- Calculated formation energy: 0.257 eV/atom

***

No. 8
First-principles (GGA-PBE) data for crystalline LaPrEuY at its relaxed geometry, as listed in the Alexandria database.

```
data_LaPrEuY
_cell_length_a 8.366
_cell_length_b 8.366
_cell_length_c 8.366
_cell_angle_alpha 90.00
_cell_angle_beta 90.00
_cell_angle_gamma 90.00
_symmetry_space_group_name_H-M 'P 1'
_symmetry_Int_Tables_number 1
loop_
_symmetry_equiv_pos_as_xyz
'x,y,z'
loop_
_atom_site_label
_atom_site_fract_x
_atom_site_fract_y
_atom_site_fract_z
_atom_site_occupancy
La1 0.000 0.000 0.000 1
La2 0.000 0.500 0.500 1
La3 0.500 0.000 0.500 1
La4 0.500 0.500 0.000 1
Pr1 0.000 0.000 0.500 1
Pr2 0.000 0.500 0.000 1
Pr3 0.500 0.000 0.000 1
Pr4 0.500 0.500 0.500 1
Eu1 0.250 0.250 0.750 1
Eu2 0.250 0.750 0.250 1
Eu3 0.750 0.250 0.250 1
Eu4 0.750 0.750 0.750 1
Y1 0.250 0.250 0.250 1
Y2 0.250 0.750 0.750 1
Y3 0.750 0.250 0.750 1
Y4 0.750 0.750 0.250 1
```

Output
- Calculated formation energy: 0.114 eV/atom

***

No. 9
First-principles (GGA-PBE) data for crystalline Tb3PN5 at its relaxed geometry, as listed in the Alexandria database.

```
data_Tb3PN5
_cell_length_a 7.031
_cell_length_b 7.031
_cell_length_c 7.031
_cell_angle_alpha 124.80
_cell_angle_beta 124.80
_cell_angle_gamma 81.86
_symmetry_space_group_name_H-M 'P 1'
_symmetry_Int_Tables_number 1
loop_
_symmetry_equiv_pos_as_xyz
'x,y,z'
loop_
_atom_site_label
_atom_site_fract_x
_atom_site_fract_y
_atom_site_fract_z
_atom_site_occupancy
Tb1 0.180 0.680 0.860 1
Tb2 0.250 0.250 0.000 1
Tb3 0.320 0.180 0.500 1
Tb4 0.680 0.820 0.500 1
Tb5 0.750 0.750 0.000 1
Tb6 0.820 0.320 0.140 1
P1 0.250 0.750 0.500 1
P2 0.750 0.250 0.500 1
N1 0.000 0.000 0.000 1
N2 0.014 0.791 0.500 1
N3 0.209 0.709 0.223 1
N4 0.291 0.514 0.500 1
N5 0.486 0.986 0.777 1
N6 0.500 0.500 0.000 1
N7 0.514 0.014 0.223 1
N8 0.709 0.486 0.500 1
N9 0.791 0.291 0.777 1
N10 0.986 0.209 0.500 1
```

Output
- Raw formation energy: -1241 meV per atom

***

No. 10
First-principles (GGA-PBE) data for crystalline TcAgSe at its relaxed geometry, as listed in the Alexandria database.

```
data_TcAgSe
_cell_length_a 6.102
_cell_length_b 6.102
_cell_length_c 6.102
_cell_angle_alpha 90.00
_cell_angle_beta 90.00
_cell_angle_gamma 90.00
_symmetry_space_group_name_H-M 'P 1'
_symmetry_Int_Tables_number 1
loop_
_symmetry_equiv_pos_as_xyz
'x,y,z'
loop_
_atom_site_label
_atom_site_fract_x
_atom_site_fract_y
_atom_site_fract_z
_atom_site_occupancy
Tc1 0.000 0.000 0.000 1
Tc2 0.000 0.500 0.500 1
Tc3 0.500 0.000 0.500 1
Tc4 0.500 0.500 0.000 1
Ag1 0.250 0.250 0.250 1
Ag2 0.250 0.750 0.750 1
Ag3 0.750 0.250 0.750 1
Ag4 0.750 0.750 0.250 1
Se1 0.250 0.250 0.750 1
Se2 0.250 0.750 0.250 1
Se3 0.750 0.250 0.250 1
Se4 0.750 0.750 0.750 1
```

Output
- Relative energy among the computed polymorphs: 1.17 eV/f.u.
- Raw formation energy: 512 meV per atom

***

No. 11
First-principles (GGA-PBE) data for crystalline CoP2WCl at its relaxed geometry, as listed in the Alexandria database.

```
data_CoP2WCl
_cell_length_a 4.686
_cell_length_b 4.686
_cell_length_c 4.863
_cell_angle_alpha 90.00
_cell_angle_beta 90.00
_cell_angle_gamma 90.00
_symmetry_space_group_name_H-M 'P 1'
_symmetry_Int_Tables_number 1
loop_
_symmetry_equiv_pos_as_xyz
'x,y,z'
loop_
_atom_site_label
_atom_site_fract_x
_atom_site_fract_y
_atom_site_fract_z
_atom_site_occupancy
Co1 0.000 0.000 0.000 1
P1 0.000 0.500 0.500 1
P2 0.500 0.000 0.500 1
W1 0.500 0.500 0.500 1
Cl1 0.500 0.500 0.000 1
```

Output
- Relative energy among the computed polymorphs: 0.00 eV/f.u.
- Raw formation energy: 883 meV per atom

***

No. 12
First-principles (GGA-PBE) data for crystalline Hf2NbTl at its relaxed geometry, as listed in the Alexandria database.

```
data_Hf2NbTl
_cell_length_a 3.118
_cell_length_b 6.002
_cell_length_c 9.855
_cell_angle_alpha 102.69
_cell_angle_beta 90.67
_cell_angle_gamma 103.62
_symmetry_space_group_name_H-M 'P 1'
_symmetry_Int_Tables_number 1
loop_
_symmetry_equiv_pos_as_xyz
'x,y,z'
loop_
_atom_site_label
_atom_site_fract_x
_atom_site_fract_y
_atom_site_fract_z
_atom_site_occupancy
Hf1 0.000 0.000 0.000 1
Hf2 0.088 0.210 0.468 1
Hf3 0.313 0.522 0.978 1
Hf4 0.720 0.381 0.227 1
Nb1 0.255 0.862 0.236 1
Nb2 0.480 0.732 0.458 1
Tl1 0.532 0.105 0.736 1
Tl2 0.872 0.609 0.709 1
```

Output
- Relative energy among the computed polymorphs: 0.45 eV/f.u.
- Calculated formation energy: 0.094 eV/atom

***

No. 13
First-principles (GGA-PBE) data for crystalline Rb2PuCoS4 at its relaxed geometry, as listed in the Alexandria database.

```
data_Rb2PuCoS4
_cell_length_a 14.352
_cell_length_b 12.875
_cell_length_c 7.661
_cell_angle_alpha 84.63
_cell_angle_beta 63.27
_cell_angle_gamma 32.10
_symmetry_space_group_name_H-M 'P 1'
_symmetry_Int_Tables_number 1
loop_
_symmetry_equiv_pos_as_xyz
'x,y,z'
loop_
_atom_site_label
_atom_site_fract_x
_atom_site_fract_y
_atom_site_fract_z
_atom_site_occupancy
Rb1 0.056 0.056 0.694 1
Rb2 0.306 0.306 0.944 1
Rb3 0.694 0.694 0.056 1
Rb4 0.944 0.944 0.306 1
Pu1 0.125 0.125 0.125 1
Pu2 0.875 0.875 0.875 1
Co1 0.375 0.375 0.375 1
Co2 0.625 0.625 0.625 1
S1 0.013 0.636 0.542 1
S2 0.309 0.542 0.636 1
S3 0.364 0.987 0.691 1
S4 0.458 0.691 0.987 1
S5 0.542 0.309 0.013 1
S6 0.636 0.013 0.309 1
S7 0.691 0.458 0.364 1
S8 0.987 0.364 0.458 1
```

Output
- Raw formation energy: -882 meV per atom

***

No. 14
First-principles (GGA-PBE) data for crystalline ZrHN2 at its relaxed geometry, as listed in the Alexandria database.

```
data_ZrHN2
_cell_length_a 3.376
_cell_length_b 3.376
_cell_length_c 13.945
_cell_angle_alpha 90.00
_cell_angle_beta 90.00
_cell_angle_gamma 120.00
_symmetry_space_group_name_H-M 'P 1'
_symmetry_Int_Tables_number 1
loop_
_symmetry_equiv_pos_as_xyz
'x,y,z'
loop_
_atom_site_label
_atom_site_fract_x
_atom_site_fract_y
_atom_site_fract_z
_atom_site_occupancy
Zr1 0.000 0.000 0.000 1
Zr2 0.333 0.667 0.667 1
Zr3 0.667 0.333 0.333 1
H1 0.000 0.000 0.500 1
H2 0.333 0.667 0.167 1
H3 0.667 0.333 0.833 1
N1 0.000 0.000 0.410 1
N2 0.000 0.000 0.590 1
N3 0.333 0.667 0.076 1
N4 0.333 0.667 0.257 1
N5 0.667 0.333 0.743 1
N6 0.667 0.333 0.924 1
```

Output
- Relative energy among the computed polymorphs: 0.00 eV/f.u.

***

No. 15
First-principles (GGA-PBE) data for crystalline LiTi4Se8 at its relaxed geometry, as listed in the Alexandria database.

```
data_LiTi4Se8
_cell_length_a 7.099
_cell_length_b 7.099
_cell_length_c 9.020
_cell_angle_alpha 125.87
_cell_angle_beta 125.87
_cell_angle_gamma 60.01
_symmetry_space_group_name_H-M 'P 1'
_symmetry_Int_Tables_number 1
loop_
_symmetry_equiv_pos_as_xyz
'x,y,z'
loop_
_atom_site_label
_atom_site_fract_x
_atom_site_fract_y
_atom_site_fract_z
_atom_site_occupancy
Li1 0.000 0.000 0.000 1
Ti1 0.253 0.253 0.502 1
Ti2 0.255 0.745 0.500 1
Ti3 0.745 0.255 0.500 1
Ti4 0.747 0.747 0.498 1
Se1 0.032 0.032 0.731 1
Se2 0.034 0.532 0.735 1
Se3 0.466 0.466 0.264 1
Se4 0.468 0.966 0.265 1
Se5 0.532 0.034 0.735 1
Se6 0.534 0.534 0.736 1
Se7 0.966 0.468 0.265 1
Se8 0.968 0.968 0.269 1
```

Output
- Relative energy among the computed polymorphs: 0.00 eV/f.u.
- Raw formation energy: -1172 meV per atom

***

No. 16
First-principles (GGA-PBE) data for crystalline TlIr2Au at its relaxed geometry, as listed in the Alexandria database.

```
data_TlIr2Au
_cell_length_a 4.214
_cell_length_b 4.214
_cell_length_c 3.862
_cell_angle_alpha 90.00
_cell_angle_beta 90.00
_cell_angle_gamma 90.00
_symmetry_space_group_name_H-M 'P 1'
_symmetry_Int_Tables_number 1
loop_
_symmetry_equiv_pos_as_xyz
'x,y,z'
loop_
_atom_site_label
_atom_site_fract_x
_atom_site_fract_y
_atom_site_fract_z
_atom_site_occupancy
Tl1 0.000 0.000 0.000 1
Ir1 0.000 0.500 0.500 1
Ir2 0.500 0.000 0.500 1
Au1 0.500 0.500 0.000 1
```

Output
- Relative energy among the computed polymorphs: 0.60 eV/f.u.
- Calculated formation energy: 0.535 eV/atom

***

No. 17
First-principles (GGA-PBE) data for crystalline Pr3BC4 at its relaxed geometry, as listed in the Alexandria database.

```
data_Pr3BC4
_cell_length_a 4.081
_cell_length_b 4.385
_cell_length_c 13.266
_cell_angle_alpha 90.00
_cell_angle_beta 90.00
_cell_angle_gamma 90.00
_symmetry_space_group_name_H-M 'P 1'
_symmetry_Int_Tables_number 1
loop_
_symmetry_equiv_pos_as_xyz
'x,y,z'
loop_
_atom_site_label
_atom_site_fract_x
_atom_site_fract_y
_atom_site_fract_z
_atom_site_occupancy
Pr1 0.000 0.000 0.000 1
Pr2 0.000 0.500 0.183 1
Pr3 0.000 0.500 0.817 1
Pr4 0.500 0.000 0.317 1
Pr5 0.500 0.000 0.683 1
Pr6 0.500 0.500 0.500 1
B1 0.000 0.000 0.500 1
B2 0.500 0.500 0.000 1
C1 0.000 0.339 0.385 1
C2 0.000 0.339 0.615 1
C3 0.000 0.661 0.385 1
C4 0.000 0.661 0.615 1
C5 0.500 0.161 0.115 1
C6 0.500 0.161 0.885 1
C7 0.500 0.839 0.115 1
C8 0.500 0.839 0.885 1
```

Output
- Calculated formation energy: 0.289 eV/atom

***

Values of energy, in order: -33.7; -3.7; -35.3; -20.8; -14.5; -6.9; -27.4; -26.0; -72.1; -15.2; -28.3; -32.0; -46.9; -30.4; -76.6; -21.2; -55.6, all in eV per formula unit.